Material: Na2SmInO4
Method: DFT, PBE
State: optimized geometry

Lattice parameters (Å, degrees): 5.845 3.424 5.966 90.00 109.38 90.00
Atoms (fractional coordinates):
Na: 0.000 0.000 0.000
Na: 0.500 0.500 0.000
Sm: 0.000 0.500 0.500
In: 0.500 0.000 0.500
O: 0.246 0.000 0.719
O: 0.274 0.500 0.284
O: 0.726 0.500 0.716
O: 0.754 0.000 0.281

## Properties
* total magnetic moment: 0.0 μB/cell
* ΔE_f (raw): -2.12 eV per atom